[1]
The following is a GGA-PBE calculation of PrOsO4 after structural relaxation, from the Alexandria database.

Raw total energy, eV/atom: -7.8388
Distance to the lowest polymorph of the same formula, kJ per mole of atoms: 11.5
Formation energy (no corrections), eV/atom: -1.865

CIF file:
```
data_PrOsO4
_chemical_formula_sum 'Pr2 Os2 O8'
_cell_length_a 5.859
_cell_length_b 5.127
_cell_length_c 5.701
_cell_angle_alpha 90.00
_cell_angle_beta 105.23
_cell_angle_gamma 90.00
_space_group_name_H-M_alt 'P 1 21/c 1'
_space_group_IT_number 14
loop_
_space_group_symop_operation_xyz
'x,y,z'
'-x,-y,-z'
'-x,y+1/2,-z+1/2'
'x,-y+1/2,z+1/2'
loop_
_atom_site_label
_atom_site_type_symbol
_atom_site_fract_x
_atom_site_fract_y
_atom_site_fract_z
_atom_site_occupancy
Pr1 Pr 0.000 0.000 0.000 1
Os1 Os 0.500 0.000 0.500 1
O1 O 0.181 0.134 0.401 1
O2 O 0.383 0.740 0.710 1
```

---

[2]
The following is a GGA-PBE calculation of Pr2OsO6 after structural relaxation, from the Alexandria database.

Raw total energy, eV/atom: -7.6882
Distance to the lowest polymorph of the same formula, kJ per mole of atoms: 24.2
Formation energy (no corrections), eV/atom: -2.073

CIF file:
```
data_Pr2OsO6
_chemical_formula_sum 'Pr4 Os2 O12'
_cell_length_a 3.804
_cell_length_b 5.526
_cell_length_c 11.178
_cell_angle_alpha 90.00
_cell_angle_beta 90.00
_cell_angle_gamma 90.00
_space_group_name_H-M_alt 'I m m m'
_space_group_IT_number 71
_space_group_name_Hall '-I 2 2'
loop_
_atom_site_label
_atom_site_type_symbol
_atom_site_fract_x
_atom_site_fract_y
_atom_site_fract_z
_atom_site_occupancy
Pr1 Pr 0.000 0.000 0.166 1
Os1 Os 0.000 0.000 0.500 1
O1 O 0.000 0.229 0.356 1
O2 O 0.000 0.297 0.000 1
```

---

[3]
The following is a GGA-PBE calculation of Pr12Os3O5 after structural relaxation, from the Alexandria database.

Raw total energy, eV/atom: -7.0930
Formation energy (no corrections), eV/atom: -1.301

CIF file:
```
data_Pr12Os3O5
_chemical_formula_sum 'Pr96 Os24 O40'
_cell_length_a 15.833
_cell_length_b 15.833
_cell_length_c 15.833
_cell_angle_alpha 90.00
_cell_angle_beta 90.00
_cell_angle_gamma 90.00
_space_group_name_H-M_alt 'I a -3 d'
_space_group_IT_number 230
_space_group_name_Hall '-I 4bd 2c 3'
loop_
_atom_site_label
_atom_site_type_symbol
_atom_site_fract_x
_atom_site_fract_y
_atom_site_fract_z
_atom_site_occupancy
Pr1 Pr 0.031 0.057 0.652 1
Os1 Os 0.000 0.250 0.125 1
O1 O 0.000 0.000 0.000 1
O2 O 0.000 0.250 0.375 1
```

---

[4]
The following is a GGA-PBE calculation of Pr2OsO6 after structural relaxation, from the Alexandria database.

Raw total energy, eV/atom: -7.9393
Distance to the lowest polymorph of the same formula, kJ per mole of atoms: 0.0
Formation energy (no corrections), eV/atom: -2.324

CIF file:
```
data_Pr2OsO6
_chemical_formula_sum 'Pr4 Os2 O12'
_cell_length_a 5.566
_cell_length_b 6.242
_cell_length_c 8.959
_cell_angle_alpha 90.00
_cell_angle_beta 121.85
_cell_angle_gamma 90.00
_space_group_name_H-M_alt 'P 1 21/c 1'
_space_group_IT_number 14
loop_
_space_group_symop_operation_xyz
'x,y,z'
'-x,-y,-z'
'-x,y+1/2,-z+1/2'
'x,-y+1/2,z+1/2'
loop_
_atom_site_label
_atom_site_type_symbol
_atom_site_fract_x
_atom_site_fract_y
_atom_site_fract_z
_atom_site_occupancy
Pr1 Pr 0.209 0.092 0.249 1
Os1 Os 0.500 0.000 0.000 1
O1 O 0.152 0.154 0.948 1
O2 O 0.297 0.730 0.929 1
O3 O 0.402 0.052 0.764 1
```

---

[5]
The following is a GGA-PBE calculation of PrOs2O8 after structural relaxation, from the Alexandria database.

Raw total energy, eV/atom: -7.4191
Formation energy (no corrections), eV/atom: -1.337

CIF file:
```
data_PrOs2O8
_chemical_formula_sum 'Pr2 Os4 O16'
_cell_length_a 10.828
_cell_length_b 5.566
_cell_length_c 6.206
_cell_angle_alpha 90.00
_cell_angle_beta 108.08
_cell_angle_gamma 90.00
_space_group_name_H-M_alt 'C 1 2/m 1'
_space_group_IT_number 12
loop_
_space_group_symop_operation_xyz
'x,y,z'
'-x,-y,-z'
'-x,y,-z'
'x,-y,z'
'x+1/2,y+1/2,z'
'-x+1/2,-y+1/2,-z'
'-x+1/2,y+1/2,-z'
'x+1/2,-y+1/2,z'
loop_
_atom_site_label
_atom_site_type_symbol
_atom_site_fract_x
_atom_site_fract_y
_atom_site_fract_z
_atom_site_occupancy
Pr1 Pr 0.000 0.000 0.000 1
Os1 Os 0.207 0.000 0.686 1
O1 O 0.124 0.500 0.187 1
O2 O 0.127 0.230 0.798 1
O3 O 0.157 0.000 0.381 1
```

---

[6]
The following is a GGA-PBE calculation of RbPr2OsO8 after structural relaxation, from the Alexandria database.

Raw total energy, eV/atom: -7.0462
Formation energy (no corrections), eV/atom: -1.928

CIF file:
```
data_RbPr2OsO8
_chemical_formula_sum 'Rb1 Pr2 Os1 O8'
_cell_length_a 4.286
_cell_length_b 5.435
_cell_length_c 7.420
_cell_angle_alpha 90.00
_cell_angle_beta 106.34
_cell_angle_gamma 90.00
_space_group_name_H-M_alt 'P 1 2/m 1'
_space_group_IT_number 10
loop_
_space_group_symop_operation_xyz
'x,y,z'
'-x,-y,-z'
'-x,y,-z'
'x,-y,z'
loop_
_atom_site_label
_atom_site_type_symbol
_atom_site_fract_x
_atom_site_fract_y
_atom_site_fract_z
_atom_site_occupancy
Rb1 Rb 0.000 0.000 0.000 1
Pr1 Pr 0.372 0.500 0.707 1
Os1 Os 0.000 0.000 0.500 1
O1 O 0.173 0.500 0.998 1
O2 O 0.190 0.265 0.394 1
O3 O 0.345 0.000 0.720 1
```

---

[7]
The following is a GGA-PBE calculation of RbPrOs2O8 after structural relaxation, from the Alexandria database.

Raw total energy, eV/atom: -7.1706
Formation energy (no corrections), eV/atom: -1.515

CIF file:
```
data_RbPrOs2O8
_chemical_formula_sum 'Rb1 Pr1 Os2 O8'
_cell_length_a 6.1236
_cell_length_b 6.1236
_cell_length_c 8.1561
_cell_angle_alpha 90.00
_cell_angle_beta 90.00
_cell_angle_gamma 120.00
_space_group_name_H-M_alt 'P -3'
_space_group_IT_number 147
loop_
_space_group_symop_operation_xyz
'x,y,z'
'-x,-y,-z'
'-y,x-y,z'
'y,-x+y,-z'
'-x+y,-x,z'
'x-y,x,-z'
loop_
_atom_site_label
_atom_site_type_symbol
_atom_site_fract_x
_atom_site_fract_y
_atom_site_fract_z
_atom_site_occupancy
Rb1 Rb 0.0000 0.0000 0.0000 1
Pr1 Pr 0.0000 0.0000 0.5000 1
Os1 Os 0.3333 0.6667 0.7642 1
O1 O 0.1700 0.3458 0.6845 1
O2 O 0.3333 0.6667 0.9808 1
```

---

[8]
The following is a GGA-PBE calculation of PrScOsO6 after structural relaxation, from the Alexandria database.

Raw total energy, eV/atom: -8.1311
Formation energy (no corrections), eV/atom: -2.343

CIF file:
```
data_PrScOsO6
_chemical_formula_sum 'Pr2 Sc2 Os2 O12'
_cell_length_a 5.3310
_cell_length_b 5.3310
_cell_length_c 10.2349
_cell_angle_alpha 90.00
_cell_angle_beta 90.00
_cell_angle_gamma 120.00
_space_group_name_H-M_alt 'P -3 1 c'
_space_group_IT_number 163
_space_group_name_Hall '-P 3 2c'
loop_
_atom_site_label
_atom_site_type_symbol
_atom_site_fract_x
_atom_site_fract_y
_atom_site_fract_z
_atom_site_occupancy
Pr1 Pr 0.0000 0.0000 0.0000 1
Sc1 Sc 0.3333 0.6667 0.2500 1
Os1 Os 0.3333 0.6667 0.7500 1
O1 O 0.0239 0.3740 0.6430 1
```